No. 1
TiRu3Pb: single point on PBEsol structure, meta-GGA SCAN.

abc: 4.810 4.810 4.810
angles: 90.00 90.00 90.00
Fractional positions:
Ti 0.000 0.000 0.000
Ru 0.000 0.500 0.500
Ru 0.500 0.000 0.500
Ru 0.500 0.500 0.000
Pb 0.500 0.500 0.500

E_tot: -37.22 eV/atom
DOS at the Fermi energy: 3.46 states/eV/cell
SG: No. 221
formation energy: 2042 meV per atom
total magnetic moment: 1.9 μB/cell

No. 2
ScTaSeN2: single point on PBEsol structure, meta-GGA SCAN.

abc: 3.966 3.966 4.981
angles: 90.00 90.00 90.00
Fractional positions:
Sc 0.000 0.000 0.000
Ta 0.500 0.500 0.500
Se 0.000 0.000 0.500
N 0.000 0.500 0.000
N 0.500 0.000 0.000

E_tot: -23.15 eV/atom
DOS at the Fermi energy: 3.39 states/eV/cell
formation energy without anion corrections: 0.75 eV/atom
SG: No. 123
total magnetic moment: 0.0 μB/cell

No. 3
Sc2MnAlGa: single point on PBEsol structure, meta-GGA SCAN.

abc: 5.009 5.009 4.547
angles: 90.00 90.00 90.00
Fractional positions:
Sc 0.000 0.500 0.000
Sc 0.500 0.000 0.000
Mn 0.000 0.000 0.500
Al 0.500 0.500 0.500
Ga 0.500 0.500 0.000

E_tot: -13.94 eV/atom
DOS at the Fermi energy: 3.71 states/eV/cell
SG: No. 123
formation energy: 230 meV per atom
total magnetic moment: 5.0 μB/cell